Record 1
# SrZrAgN | OQMD via LeMat-Bulk | PBE | optimized geometry
# Total moment ... 0.0 μB/f.u.
# Volume ... 20.4 A^3/atom
# Final energy ... -6.14 eV/atom
data_SrZrAgN
_cell_length_a 3.640
_cell_length_b 19.496
_cell_length_c 4.608
_cell_angle_alpha 90.00
_cell_angle_beta 90.00
_cell_angle_gamma 90.00
_symmetry_space_group_name_H-M 'C m c m'
_symmetry_Int_Tables_number 63
_symmetry_space_group_name_Hall '-C 2c 2'
loop_
_atom_site_label
_atom_site_type_symbol
_atom_site_fract_x
_atom_site_fract_y
_atom_site_fract_z
Sr1 Sr 0.000 0.104 0.250
Zr1 Zr 0.000 0.279 0.250
Ag1 Ag 0.000 0.453 0.250
N1 N 0.000 0.284 0.750

***

Record 2
# Ta2Ag3N6 | OQMD via LeMat-Bulk | PBE | optimized geometry
# Total moment ... 0.0 μB/f.u.
# Volume ... 13.3 A^3/atom
# Final energy ... -7.00 eV/atom
data_Ta2Ag3N6
_cell_length_a 3.694
_cell_length_b 3.694
_cell_length_c 21.504
_cell_angle_alpha 90.00
_cell_angle_beta 90.00
_cell_angle_gamma 90.00
_symmetry_space_group_name_H-M 'I 4/m m m'
_symmetry_Int_Tables_number 139
_symmetry_space_group_name_Hall '-I 4 2'
loop_
_atom_site_label
_atom_site_type_symbol
_atom_site_fract_x
_atom_site_fract_y
_atom_site_fract_z
Ta1 Ta 0.000 0.000 0.107
Ag1 Ag 0.000 0.000 0.302
Ag2 Ag 0.000 0.000 0.500
N1 N 0.000 0.000 0.197
N2 N 0.000 0.500 0.069

***

Record 3
# Ta3AgN5 | OQMD via LeMat-Bulk | PBE | optimized geometry
# Total moment ... 0.0 μB/f.u.
# Volume ... 12.3 A^3/atom
# Final energy ... -8.67 eV/atom
data_Ta3AgN5
_cell_length_a 5.4133
_cell_length_b 5.4133
_cell_length_c 4.3448
_cell_angle_alpha 90.00
_cell_angle_beta 90.00
_cell_angle_gamma 120.00
_symmetry_space_group_name_H-M 'P 6/m m m'
_symmetry_Int_Tables_number 191
_symmetry_space_group_name_Hall '-P 6 2'
loop_
_atom_site_label
_atom_site_type_symbol
_atom_site_fract_x
_atom_site_fract_y
_atom_site_fract_z
Ta1 Ta 0.0000 0.5000 0.0000
Ag1 Ag 0.0000 0.0000 0.5000
N1 N 0.0000 0.0000 0.0000
N2 N 0.3333 0.6667 0.3419

***

Record 4
# Ag3Te3N2 | OQMD via LeMat-Bulk | PBE | optimized geometry
# Volume ... 26.1 A^3/atom
# Final energy ... -4.22 eV/atom
data_Ag3Te3N2
_cell_length_a 4.126
_cell_length_b 4.044
_cell_length_c 12.581
_cell_angle_alpha 90.00
_cell_angle_beta 95.00
_cell_angle_gamma 90.00
_symmetry_space_group_name_H-M 'P 1 2/m 1'
_symmetry_Int_Tables_number 10
_symmetry_space_group_name_Hall '-P 2y'
loop_
_atom_site_label
_atom_site_type_symbol
_atom_site_fract_x
_atom_site_fract_y
_atom_site_fract_z
Ag1 Ag 0.000 0.000 0.000
Ag2 Ag 0.381 0.500 0.763
Te1 Te 0.111 0.000 0.225
Te2 Te 0.500 0.500 0.000
N1 N 0.378 0.000 0.516

***

Record 5
# ZnAg2N2 | OQMD via LeMat-Bulk | PBE | optimized geometry
# Volume ... 13.7 A^3/atom
# Final energy ... -3.37 eV/atom
data_ZnAg2N2
_cell_length_a 4.116
_cell_length_b 4.116
_cell_length_c 16.211
_cell_angle_alpha 90.00
_cell_angle_beta 90.00
_cell_angle_gamma 90.00
_symmetry_space_group_name_H-M 'I 4/m m m'
_symmetry_Int_Tables_number 139
_symmetry_space_group_name_Hall '-I 4 2'
loop_
_atom_site_label
_atom_site_type_symbol
_atom_site_fract_x
_atom_site_fract_y
_atom_site_fract_z
Zn1 Zn 0.000 0.000 0.132
Ag1 Ag 0.000 0.000 0.295
Ag2 Ag 0.000 0.500 0.000
N1 N 0.000 0.000 0.430
N2 N 0.000 0.500 0.250

***

Record 6
# ZrAg3N | OQMD via LeMat-Bulk | PBE | optimized geometry
# Total moment ... 0.0 μB/f.u.
# Volume ... 17.2 A^3/atom
# Final energy ... -4.36 eV/atom
data_ZrAg3N
_cell_length_a 6.302
_cell_length_b 5.614
_cell_length_c 9.696
_cell_angle_alpha 90.00
_cell_angle_beta 90.00
_cell_angle_gamma 90.00
_symmetry_space_group_name_H-M 'A m a 2'
_symmetry_Int_Tables_number 40
_symmetry_space_group_name_Hall 'A 2 -2a'
loop_
_atom_site_label
_atom_site_type_symbol
_atom_site_fract_x
_atom_site_fract_y
_atom_site_fract_z
Zr1 Zr 0.000 0.000 0.000
Ag1 Ag 0.250 0.014 0.506
Ag2 Ag 0.250 0.233 0.754
Ag3 Ag 0.250 0.253 0.239
N1 N 0.000 0.000 0.332